No. 1
Material: BaAs2IrW
Method: DFT, PBE-GGA
State: relaxed

Calculated values
The total energy is -5.43 eV per atom. The formation energy is 1.17 eV per atom. Its crystal system is tetragonal.

a b c (Å): 4.829 4.829 5.902
angles (deg): 90.00 90.00 90.00
Fractional positions:
Ba  0.000  0.000  0.000
As  0.000  0.500  0.500
As  0.500  0.000  0.500
Ir  0.000  0.000  0.500
W  0.500  0.500  0.000

No. 2
Material: MnFe2Pd8
Method: DFT, PBE-GGA
State: relaxed

Calculated values
The total energy is -6.28 eV per atom. The formation energy is -0.13 eV per atom. Its crystal system is monoclinic.

a b c (Å): 7.228 7.228 6.186
angles (deg): 105.62 105.62 31.78
Fractional positions:
Mn  0.000  0.000  0.000
Fe  0.276  0.276  0.352
Fe  0.724  0.724  0.648
Pd  0.099  0.099  0.460
Pd  0.181  0.181  0.917
Pd  0.356  0.356  0.802
Pd  0.455  0.455  0.270
Pd  0.545  0.545  0.730
Pd  0.644  0.644  0.198
Pd  0.819  0.819  0.083
Pd  0.901  0.901  0.540

No. 3
Material: SmSi3Os3
Method: DFT, PBE-GGA
State: relaxed

Calculated values
The calculation puts the energy above the lowest structure with this stoichiometry at 0.0 meV per atom. The total energy is -7.98 eV per atom. Its crystal system is trigonal. The raw formation energy is -0.17 eV/atom.

a b c (Å): 7.809 7.809 7.809
angles (deg): 50.58 50.58 50.58
Fractional positions:
Sm  0.166  0.166  0.166
Sm  0.834  0.834  0.834
Si  0.146  0.387  0.689
Si  0.311  0.854  0.613
Si  0.387  0.689  0.146
Si  0.613  0.311  0.854
Si  0.689  0.146  0.387
Si  0.854  0.613  0.311
Os  0.012  0.256  0.593
Os  0.256  0.593  0.012
Os  0.407  0.988  0.744
Os  0.593  0.012  0.256
Os  0.744  0.407  0.988
Os  0.988  0.744  0.407

No. 4
Material: Th8Pt3RhSe4
Method: DFT, PBE-GGA
State: relaxed

Calculated values
The total energy is -7.49 eV per atom. Its crystal system is monoclinic. The raw formation energy is -1.32 eV/atom.

a b c (Å): 8.309 8.309 8.711
angles (deg): 118.50 118.50 59.95
Fractional positions:
Th  0.240  0.240  0.728
Th  0.240  0.748  0.728
Th  0.252  0.760  0.272
Th  0.256  0.256  0.269
Th  0.744  0.744  0.731
Th  0.748  0.240  0.728
Th  0.760  0.252  0.272
Th  0.760  0.760  0.272
Pt  0.000  0.500  0.500
Pt  0.500  0.000  0.500
Pt  0.500  0.500  0.500
Rh  0.000  0.000  0.500
Se  0.000  0.000  0.000
Se  0.000  0.500  0.000
Se  0.500  0.000  0.000
Se  0.500  0.500  0.000

No. 5
Material: AcLa3Tb3
Method: DFT, PBE-GGA
State: relaxed

Calculated values
The calculation puts the energy above the lowest structure with this stoichiometry at 66.4 meV per atom. The total energy is -4.57 eV per atom. The formation energy is 0.11 eV per atom. Its crystal system is triclinic.

a b c (Å): 6.771 13.382 13.383
angles (deg): 117.34 99.34 99.32
Fractional positions:
Ac  0.000  0.000  0.000
Ac  0.000  0.174  0.827
Ac  0.150  0.360  0.186
Ac  0.578  0.188  0.014
La  0.061  0.389  0.464
La  0.061  0.638  0.216
La  0.287  0.193  0.475
La  0.287  0.648  0.019
La  0.317  0.929  0.756
La  0.524  0.202  0.278
La  0.525  0.452  0.028
La  0.602  0.735  0.769
La  0.602  0.942  0.562
La  0.844  0.740  0.567
La  0.862  0.008  0.270
La  0.862  0.444  0.834
Tb  0.083  0.662  0.761
Tb  0.083  0.934  0.488
Tb  0.294  0.654  0.480
Tb  0.338  0.448  0.750
Tb  0.338  0.923  0.275
Tb  0.461  0.193  0.731
Tb  0.461  0.905  0.020
Tb  0.619  0.460  0.555
Tb  0.619  0.729  0.287
Tb  0.725  0.487  0.314
Tb  0.820  0.202  0.559
Tb  0.820  0.732  0.028

No. 6
Material: Pm4RhPb
Method: DFT, PBE-GGA
State: relaxed

Calculated values
The calculation puts the energy above the lowest structure with this stoichiometry at 31.4 meV per atom. The total energy is -5.46 eV per atom. The formation energy is -0.45 eV per atom. Its crystal system is monoclinic.

a b c (Å): 8.402 8.402 6.177
angles (deg): 103.16 103.16 114.82
Fractional positions:
Pm  0.068  0.704  0.926
Pm  0.205  0.344  0.661
Pm  0.296  0.932  0.574
Pm  0.344  0.205  0.161
Pm  0.656  0.795  0.839
Pm  0.704  0.068  0.426
Pm  0.795  0.656  0.339
Pm  0.932  0.296  0.074
Rh  0.000  0.000  0.250
Rh  0.000  0.000  0.750
Pb  0.376  0.624  0.250
Pb  0.624  0.376  0.750

No. 7
Material: CoTeP2
Method: DFT, PBE-GGA
State: relaxed

Calculated values
The total energy is -5.19 eV per atom. Its crystal system is tetragonal. The raw formation energy is 0.08 eV/atom.

a b c (Å): 5.579 5.579 10.722
angles (deg): 90.00 90.00 90.00
Fractional positions:
Co  0.000  0.000  0.000
Co  0.000  0.500  0.250
Co  0.500  0.000  0.750
Co  0.500  0.500  0.500
Te  0.000  0.000  0.500
Te  0.000  0.500  0.750
Te  0.500  0.000  0.250
Te  0.500  0.500  0.000
P  0.155  0.250  0.125
P  0.250  0.655  0.375
P  0.250  0.845  0.875
P  0.345  0.250  0.625
P  0.655  0.750  0.625
P  0.750  0.155  0.875
P  0.750  0.345  0.375
P  0.845  0.750  0.125

No. 8
Material: FeIr6Os
Method: DFT, PBE-GGA
State: relaxed

Calculated values
The total energy is -9.13 eV per atom. The formation energy is -0.02 eV per atom. Its crystal system is tetragonal.

a b c (Å): 3.852 3.852 7.691
angles (deg): 90.00 90.00 90.00
Fractional positions:
Fe  0.000  0.000  0.000
Ir  0.000  0.500  0.250
Ir  0.000  0.500  0.750
Ir  0.500  0.000  0.250
Ir  0.500  0.000  0.750
Ir  0.500  0.500  0.000
Ir  0.500  0.500  0.500
Os  0.000  0.000  0.500

Which value of total energy does entry 3 give? -7.98 eV per atom